# 1
DFT (GGA-PBE) results for an optimized crystal structure of SrY2Al2.

Calculated values
Space group: I4/mmm
Total energy: -4.330 eV/atom
Formation energy: 0.09 eV per atom
Distance to the lowest polymorph of the same formula: 1.45 eV per formula unit
V: 33.2 Å³ per atom

extended XYZ file:
```
5
Lattice="-2.696 2.696 5.705 2.696 -2.696 5.705 2.696 2.696 -5.705" Properties=species:S:1:pos:R:3 pbc="T T T"
Sr 0.000 0.000 0.000
Y 0.000 0.000 3.923
Y 0.000 0.000 7.486
Al 2.696 0.000 2.852
Al 0.000 2.696 2.852
```



# 2
DFT (GGA-PBE) results for an optimized crystal structure of Sr2YAl.

Calculated values
Space group: P4/mmm
Total energy: -3.262 eV/atom
Formation energy: 0.13 eV per atom
V: 35.2 Å³ per atom

extended XYZ file:
```
4
Lattice="4.279 0.000 0.000 0.000 4.279 0.000 0.000 0.000 7.683" Properties=species:S:1:pos:R:3 pbc="T T T"
Sr 0.000 0.000 1.743
Sr 0.000 0.000 5.940
Y 2.139 2.139 3.841
Al 2.139 2.139 0.000
```



# 3
DFT (GGA-PBE) results for an optimized crystal structure of Sr2YAl.

Calculated values
Space group: P4mm
Total energy: -3.464 eV/atom
Formation energy: -0.07 eV per atom
V: 36.9 Å³ per atom

extended XYZ file:
```
4
Lattice="3.825 0.000 0.000 0.000 3.825 0.000 0.000 0.000 10.098" Properties=species:S:1:pos:R:3 pbc="T T T"
Sr 0.000 0.000 0.000
Sr 1.913 1.913 3.504
Y 0.000 0.000 6.425
Al 1.913 1.913 7.947
```



# 4
DFT (GGA-PBE) results for an optimized crystal structure of SrYAl2.

Calculated values
Space group: Imm2
Total energy: -4.060 eV/atom
Formation energy: -0.15 eV per atom
Distance to the lowest polymorph of the same formula: 0.41 eV per formula unit
V: 26.9 Å³ per atom

extended XYZ file:
```
4
Lattice="-1.946 2.527 5.466 1.946 -2.527 5.466 1.946 2.527 -5.466" Properties=species:S:1:pos:R:3 pbc="T T T"
Sr 0.000 0.000 0.000
Y 1.946 0.000 3.065
Al 0.000 0.000 6.218
Al 0.000 2.527 2.557
```



# 5
DFT (GGA-PBE) results for an optimized crystal structure of Sr2YAl.

Calculated values
Space group: Imm2
Total energy: -3.381 eV/atom
Formation energy: 0.01 eV per atom
V: 36.5 Å³ per atom

extended XYZ file:
```
4
Lattice="-1.936 2.977 6.341 1.936 -2.977 6.341 1.936 2.977 -6.341" Properties=species:S:1:pos:R:3 pbc="T T T"
Sr 0.000 0.000 0.000
Sr 0.000 2.977 2.578
Y 0.000 0.000 5.104
Al 1.936 0.000 2.787
```



# 6
DFT (GGA-PBE) results for an optimized crystal structure of SrY2Al.

Calculated values
Space group: Imm2
Total energy: -4.583 eV/atom
Formation energy: 0.00 eV per atom
V: 31.3 Å³ per atom

extended XYZ file:
```
4
Lattice="-1.949 2.708 5.931 1.949 -2.708 5.931 1.949 2.708 -5.931" Properties=species:S:1:pos:R:3 pbc="T T T"
Sr 0.000 0.000 0.000
Y 1.949 0.000 3.433
Y 0.000 0.000 6.834
Al 0.000 2.708 3.243
```



# 7
DFT (GGA-PBE) results for an optimized crystal structure of Sr2YAl.

Calculated values
Space group: I-4m2
Total energy: -3.270 eV/atom
Formation energy: 0.12 eV per atom
V: 33.3 Å³ per atom

extended XYZ file:
```
4
Lattice="-2.876 2.876 4.031 2.876 -2.876 4.031 2.876 2.876 -4.031" Properties=species:S:1:pos:R:3 pbc="T T T"
Sr 0.000 0.000 0.000
Sr 0.000 2.876 2.015
Y 0.000 0.000 4.031
Al 2.876 0.000 2.015
```



# 8
DFT (GGA-PBE) results for an optimized crystal structure of SrY2Al.

Calculated values
Space group: I-42d
Total energy: -4.263 eV/atom
Formation energy: 0.33 eV per atom
V: 32.4 Å³ per atom

extended XYZ file:
```
8
Lattice="-2.369 2.369 11.559 2.369 -2.369 11.559 2.369 2.369 -11.559" Properties=species:S:1:pos:R:3 pbc="T T T"
Sr 0.000 0.000 0.000
Sr 0.000 2.369 5.779
Y 1.185 -1.046 8.669
Y 1.324 1.185 2.890
Y 1.185 3.415 -2.890
Y 1.046 1.185 14.448
Al 2.369 0.000 5.779
Al 0.000 0.000 11.559
```



# 9
DFT (GGA-PBE) results for an optimized crystal structure of Sr2YAl.

Calculated values
Space group: P2/m
Total energy: -3.256 eV/atom
Formation energy: 0.14 eV per atom
V: 34.8 Å³ per atom

extended XYZ file:
```
4
Lattice="3.763 0.000 0.000 0.000 5.131 0.000 -0.001 0.000 7.207" Properties=species:S:1:pos:R:3 pbc="T T T"
Sr 0.006 0.000 1.663
Sr 3.756 0.000 5.544
Y 1.881 2.565 3.604
Al 1.882 2.565 0.000
```



# 10
DFT (GGA-PBE) results for an optimized crystal structure of SrY2Al2.

Calculated values
Space group: I4/mmm
Total energy: -4.532 eV/atom
Formation energy: -0.11 eV per atom
Distance to the lowest polymorph of the same formula: 0.44 eV per formula unit
V: 30.6 Å³ per atom

extended XYZ file:
```
5
Lattice="-2.404 2.404 6.613 2.404 -2.404 6.613 2.404 2.404 -6.613" Properties=species:S:1:pos:R:3 pbc="T T T"
Sr 0.000 0.000 0.000
Y 2.404 0.000 3.306
Y 0.000 2.404 3.306
Al 0.000 0.000 5.304
Al 0.000 0.000 7.921
```



# 11
DFT (GGA-PBE) results for an optimized crystal structure of SrY2Al2.

Calculated values
Space group: P4/mbm
Total energy: -4.618 eV/atom
Formation energy: -0.20 eV per atom
Distance to the lowest polymorph of the same formula: 0.01 eV per formula unit
V: 27.8 Å³ per atom

extended XYZ file:
```
10
Lattice="9.039 0.000 0.000 0.000 9.039 0.000 0.000 0.000 3.400" Properties=species:S:1:pos:R:3 pbc="T T T"
Sr 0.000 0.000 0.000
Sr 4.520 4.520 0.000
Y 1.152 3.367 0.000
Y 3.367 7.887 0.000
Y 5.672 1.152 0.000
Y 7.887 5.672 0.000
Al 1.554 6.074 1.700
Al 2.966 1.554 1.700
Al 6.074 7.485 1.700
Al 7.485 2.966 1.700
```



# 12
DFT (GGA-PBE) results for an optimized crystal structure of SrY3Al.

Calculated values
Space group: Pm-3m
Total energy: -3.716 eV/atom
Formation energy: 1.25 eV per atom
Distance to the lowest polymorph of the same formula: 5.30 eV per formula unit
V: 34.8 Å³ per atom

extended XYZ file:
```
5
Lattice="5.583 0.000 0.000 0.000 5.583 0.000 0.000 0.000 5.583" Properties=species:S:1:pos:R:3 pbc="T T T"
Sr 0.000 0.000 0.000
Y 0.000 0.000 2.792
Y 0.000 2.792 0.000
Y 2.792 0.000 0.000
Al 2.792 2.792 2.792
```



Which formula does entry 9 have?
Sr2YAl